# GGA-PBE SrGeC2, optimized geometry
# Final energy in eV/atom: -5.231
# ΔH_f (0 K) in eV/atom: 0.956
data_SrGeC2
_cell_length_a 4.8351
_cell_length_b 4.8351
_cell_length_c 6.7435
_cell_angle_alpha 68.99
_cell_angle_beta 68.99
_cell_angle_gamma 90.00
_space_group_name_H-M_alt 'P 1'
_space_group_IT_number 1
loop_
_space_group_symop_operation_xyz
'x,y,z'
loop_
_atom_site_label
_atom_site_fract_x
_atom_site_fract_y
_atom_site_fract_z
Sr1 0.0000 0.0000 0.0000
Sr2 0.7500 0.2500 0.5000
Ge1 0.5000 0.5000 0.0000
Ge2 0.2500 0.7500 0.5000
C1 0.4537 0.1250 0.2500
C2 0.2963 0.6250 0.2500
C3 0.3750 0.5463 0.7500
C4 0.8750 0.7037 0.7500

=====

# GGA-PBE Na8Tl3Cd, optimized geometry
# Final energy in eV/atom: -1.596
# ΔH_f (0 K) in eV/atom: -0.049
data_Na8Tl3Cd
_cell_length_a 11.0351
_cell_length_b 9.9630
_cell_length_c 11.0340
_cell_angle_alpha 36.73
_cell_angle_beta 116.57
_cell_angle_gamma 143.27
_space_group_name_H-M_alt 'P 1'
_space_group_IT_number 1
loop_
_space_group_symop_operation_xyz
'x,y,z'
loop_
_atom_site_label
_atom_site_fract_x
_atom_site_fract_y
_atom_site_fract_z
Na1 0.1595 0.0000 0.3400
Na2 0.4098 0.5020 0.5903
Na3 0.9078 0.4980 0.0922
Na4 0.6598 0.0000 0.8407
Na5 0.8403 0.0000 0.6599
Na6 0.5902 0.4979 0.4098
Na7 0.0923 0.5021 0.9077
Na8 0.3404 0.0000 0.1595
Tl1 0.7501 0.5002 0.7499
Tl2 0.2499 0.4998 0.2501
Tl3 0.5000 0.0000 0.5000
Cd1 0.0001 0.0000 0.0000

=====

# GGA-PBE ErSi2Ni10, optimized geometry
# Final energy in eV/atom: -5.991
# E_form (uncorrected) in eV per atom: -0.359
data_ErSi2Ni10
_cell_length_a 4.7981
_cell_length_b 6.2575
_cell_length_c 6.1426
_cell_angle_alpha 81.39
_cell_angle_beta 67.01
_cell_angle_gamma 67.46
_space_group_name_H-M_alt 'P 1'
_space_group_IT_number 1
loop_
_space_group_symop_operation_xyz
'x,y,z'
loop_
_atom_site_label
_atom_site_fract_x
_atom_site_fract_y
_atom_site_fract_z
Er1 0.0000 0.0000 0.0000
Si1 0.0000 0.5000 0.0000
Si2 0.5000 0.5000 0.0000
Ni1 0.3481 0.6463 0.6574
Ni2 0.6519 0.3537 0.3426
Ni3 0.9944 0.3537 0.6574
Ni4 0.0056 0.6463 0.3426
Ni5 0.0000 0.0000 0.5000
Ni6 0.5000 0.0000 0.5000
Ni7 0.2753 0.2291 0.2202
Ni8 0.7247 0.7709 0.7798
Ni9 0.5044 0.7709 0.2202
Ni10 0.4956 0.2291 0.7798

=====

# GGA-PBE La2RhAuN, optimized geometry
# Final energy in eV/atom: -6.620
# E_form (uncorrected) in eV per atom: -0.858
data_La2RhAuN
_cell_length_a 5.2167
_cell_length_b 5.2167
_cell_length_c 3.9643
_cell_angle_alpha 90.00
_cell_angle_beta 90.00
_cell_angle_gamma 90.00
_space_group_name_H-M_alt 'P 1'
_space_group_IT_number 1
loop_
_space_group_symop_operation_xyz
'x,y,z'
loop_
_atom_site_label
_atom_site_fract_x
_atom_site_fract_y
_atom_site_fract_z
Rh1 0.0000 0.0000 0.5000
N1 0.0000 0.0000 0.0000
Au1 0.5000 0.5000 0.5000
La1 0.0000 0.5000 0.0000
La2 0.5000 0.0000 0.0000

=====

# GGA-PBE ScAuN, optimized geometry
# Final energy in eV/atom: -6.581
# E_form (uncorrected) in eV per atom: -0.603
data_ScAuN
_cell_length_a 3.2824
_cell_length_b 7.7280
_cell_length_c 5.8354
_cell_angle_alpha 136.76
_cell_angle_beta 106.33
_cell_angle_gamma 90.00
_space_group_name_H-M_alt 'P 1'
_space_group_IT_number 1
loop_
_space_group_symop_operation_xyz
'x,y,z'
loop_
_atom_site_label
_atom_site_fract_x
_atom_site_fract_y
_atom_site_fract_z
Au1 0.4056 0.7202 0.8112
Au2 0.5944 0.2798 0.1888
Sc1 0.2742 0.1914 0.5485
Sc2 0.7258 0.8086 0.4515
N1 0.8993 0.2145 0.7985
N2 0.1007 0.7855 0.2015

=====

# GGA-PBE NpAlH2, optimized geometry
# Final energy in eV/atom: -5.743
data_NpAlH2
_cell_length_a 3.0920
_cell_length_b 3.0920
_cell_length_c 6.2540
_cell_angle_alpha 75.69
_cell_angle_beta 75.69
_cell_angle_gamma 60.00
_space_group_name_H-M_alt 'P 1'
_space_group_IT_number 1
loop_
_space_group_symop_operation_xyz
'x,y,z'
loop_
_atom_site_label
_atom_site_fract_x
_atom_site_fract_y
_atom_site_fract_z
Np1 0.5000 0.5000 0.5000
H1 0.0977 0.0977 0.7070
H2 0.9023 0.9023 0.2930
Al1 0.0000 0.0000 0.0000

=====

# GGA-PBE TlCr2Os, optimized geometry
# Final energy in eV/atom: -7.435
# ΔH_f (0 K) in eV/atom: 0.775
data_TlCr2Os
_cell_length_a 4.4774
_cell_length_b 4.4774
_cell_length_c 4.4774
_cell_angle_alpha 60.00
_cell_angle_beta 60.00
_cell_angle_gamma 60.00
_space_group_name_H-M_alt 'P 1'
_space_group_IT_number 1
loop_
_space_group_symop_operation_xyz
'x,y,z'
loop_
_atom_site_label
_atom_site_fract_x
_atom_site_fract_y
_atom_site_fract_z
Cr1 0.2500 0.2500 0.2500
Cr2 0.7500 0.7500 0.7500
Tl1 0.5000 0.5000 0.5000
Os1 0.0000 0.0000 0.0000

=====

# GGA-PBE NpPa2AgO8, optimized geometry
# Final energy in eV/atom: -9.093
# E_form (uncorrected) in eV per atom: -2.888
data_NpPa2AgO8
_cell_length_a 5.4097
_cell_length_b 5.4097
_cell_length_c 6.6221
_cell_angle_alpha 114.11
_cell_angle_beta 114.11
_cell_angle_gamma 90.00
_space_group_name_H-M_alt 'P 1'
_space_group_IT_number 1
loop_
_space_group_symop_operation_xyz
'x,y,z'
loop_
_atom_site_label
_atom_site_fract_x
_atom_site_fract_y
_atom_site_fract_z
Np1 0.7500 0.2500 0.5000
Pa1 0.5000 0.5000 0.0000
Pa2 0.2500 0.7500 0.5000
Ag1 0.0000 0.0000 0.0000
O1 0.8673 0.8690 0.2642
O2 0.3969 0.3952 0.2642
O3 0.6047 0.6029 0.7357
O4 0.1310 0.1328 0.7357
O5 0.8672 0.3953 0.2643
O6 0.3971 0.8690 0.2643
O7 0.1310 0.6031 0.7358
O8 0.6048 0.1327 0.7358

=====

# GGA-PBE KMnV2, optimized geometry
# Final energy in eV/atom: -5.734
# ΔH_f (0 K) in eV/atom: 1.392
data_KMnV2
_cell_length_a 6.7818
_cell_length_b 6.7818
_cell_length_c 7.0284
_cell_angle_alpha 61.15
_cell_angle_beta 61.15
_cell_angle_gamma 90.00
_space_group_name_H-M_alt 'P 1'
_space_group_IT_number 1
loop_
_space_group_symop_operation_xyz
'x,y,z'
loop_
_atom_site_label
_atom_site_fract_x
_atom_site_fract_y
_atom_site_fract_z
K1 0.5000 0.5000 0.0000
K2 0.2500 0.7500 0.5000
Mn1 0.0000 0.0000 0.0000
Mn2 0.7500 0.2500 0.5000
V1 0.8749 0.1250 0.2500
V2 0.8751 0.6250 0.2500
V3 0.3750 0.1251 0.7500
V4 0.8750 0.1249 0.7500

=====

# GGA-PBE BaTl2Cu2, optimized geometry
# Final energy in eV/atom: -3.019
# ΔH_f (0 K) in eV/atom: -0.049
data_BaTl2Cu2
_cell_length_a 4.6929
_cell_length_b 4.6929
_cell_length_c 6.7078
_cell_angle_alpha 69.52
_cell_angle_beta 69.52
_cell_angle_gamma 90.00
_space_group_name_H-M_alt 'P 1'
_space_group_IT_number 1
loop_
_space_group_symop_operation_xyz
'x,y,z'
loop_
_atom_site_label
_atom_site_fract_x
_atom_site_fract_y
_atom_site_fract_z
Tl1 0.7500 0.2500 0.5000
Tl2 0.2500 0.7500 0.5000
Ba1 0.0000 0.0000 0.0000
Cu1 0.3933 0.3933 0.2134
Cu2 0.6067 0.6067 0.7866

=====

# GGA-PBE PrAs4, optimized geometry
# Final energy in eV/atom: -3.708
# ΔH_f (0 K) in eV/atom: 0.968
data_PrAs4
_cell_length_a 5.5928
_cell_length_b 5.5928
_cell_length_c 5.5928
_cell_angle_alpha 90.00
_cell_angle_beta 90.00
_cell_angle_gamma 90.00
_space_group_name_H-M_alt 'P 1'
_space_group_IT_number 1
loop_
_space_group_symop_operation_xyz
'x,y,z'
loop_
_atom_site_label
_atom_site_fract_x
_atom_site_fract_y
_atom_site_fract_z
Pr1 0.5000 0.5000 0.5000
As1 0.0000 0.0000 0.0000
As2 0.5000 0.0000 0.5000
As3 0.0000 0.5000 0.5000
As4 0.5000 0.5000 0.0000